# CsKTa2C

CsKTa2C after structural relaxation (PBE, Alexandria).

The calculated total energy comes out at -0.435 Ry/atom. Its energy of formation from the pure elements is 101.9 kJ/mol of atoms. As for the space group: P4/mmm, No. 123. Its volume is 25.0 Å³ per atom.

Lattice parameters (Å, degrees): 4.358 6.580 4.358 90.00 90.00 90.00
Last column: magnetic moment on the atom in μB.
Atoms (fractional coordinates):
1 Ta 0.500 0.000 0.000  0.44
2 Ta 0.000 0.000 0.500  0.34
3 C 0.000 0.000 0.000  -0.02
4 K 0.500 0.500 0.500  0.01
5 Cs 0.000 0.500 0.000  0.04